w | First-principles (PBE) data for a relaxed structure of Li3LaSc, as listed in the Alexandria database.

Properties
symmetry: Pm-3m

```
Li3LaSc
1.0
5.1930 0.0000 0.0000
0.0000 5.1930 0.0000
0.0000 0.0000 5.1930
Li La Sc
3 1 1
Direct
0.0000 0.0000 0.5000
0.0000 0.5000 0.0000
0.5000 0.0000 0.0000
0.5000 0.5000 0.5000
0.0000 0.0000 0.0000
```

---

x | First-principles (PBE) data for a relaxed structure of Li3LaSc, as listed in the Alexandria database.

Properties
symmetry: Pm-3m

```
Li3LaSc
1.0
5.1276 0.0000 0.0000
0.0000 5.1276 0.0000
0.0000 0.0000 5.1276
Li La Sc
3 1 1
Direct
0.0000 0.0000 0.5000
0.0000 0.5000 0.0000
0.5000 0.0000 0.0000
0.0000 0.0000 0.0000
0.5000 0.5000 0.5000
```

---

Stability order, top to bottom: w, x